(1)
The following is a PBE calculation of an optimized crystal structure of Pm14YPu, from Alexandria via LeMat-Bulk.

Cell: 7.2736 7.2736 10.2334 Å, 90.00 90.00 89.98°
Last column: magnetic moment on the atom in μB.
Element x y z (fractional)
1 Pm 0.3753 0.6247 0.5000  -0.03
2 Pm 0.8748 0.1252 0.5000  -0.01
3 Pm 0.8750 0.6250 0.0000  0.04
4 Pm 0.8752 0.6251 0.5000  0.00
5 Pm 0.3750 0.1250 0.0000  0.04
6 Pm 0.3749 0.1248 0.5000  0.00
7 Pm 0.6266 0.8766 0.7533  0.02
8 Pm 0.6266 0.8766 0.2467  0.02
9 Pm 0.1234 0.3734 0.7533  0.02
10 Pm 0.1234 0.3734 0.2467  0.02
11 Pm 0.1234 0.8766 0.7532  0.02
12 Pm 0.1234 0.8766 0.2468  0.02
13 Pm 0.6266 0.3734 0.7534  0.02
14 Pm 0.6266 0.3734 0.2466  0.02
15 Y 0.3748 0.6252 0.0000  -0.03
16 Pu 0.8751 0.1249 0.0000  5.59

## Properties
Crystal system: tetragonal
Calculated formation energy: 0.04 eV per atom
Spin magnetization: 0.403 μB/atom
Symmetry: P4/mmm (123)

(2)
The following is a PBE calculation of an optimized crystal structure of Pm12Y7Pu, from Alexandria via LeMat-Bulk.

Cell: 9.9877 9.9877 9.9877 Å, 109.47 109.47 109.47°
Last column: magnetic moment on the atom in μB.
Element x y z (fractional)
1 Pm 0.5032 0.7516 0.7516  0.02
2 Pm 0.0000 0.7516 0.2484  0.02
3 Pm 0.4968 0.2484 0.2484  0.02
4 Pm 0.0000 0.2484 0.7516  0.02
5 Pm 0.7516 0.0000 0.2484  0.02
6 Pm 0.7516 0.5032 0.7516  0.02
7 Pm 0.2484 0.0000 0.7516  0.02
8 Pm 0.2484 0.4968 0.2484  0.02
9 Pm 0.7516 0.7516 0.5032  0.02
10 Pm 0.2484 0.2484 0.4968  0.02
11 Pm 0.7516 0.2484 0.0000  0.02
12 Pm 0.2484 0.7516 0.0000  0.02
13 Y 0.5000 0.5000 0.0000  0.00
14 Y 0.0000 0.5000 0.5000  0.00
15 Y 0.5000 0.0000 0.5000  0.00
16 Y 0.5000 0.5000 0.5000  0.00
17 Y 0.0000 0.0000 0.5000  0.00
18 Y 0.5000 0.0000 0.0000  0.00
19 Y 0.0000 0.5000 0.0000  0.00
20 Pu 0.0000 0.0000 0.0000  5.71

## Properties
Crystal system: cubic
Calculated formation energy: 0.72 eV per atom
Spin magnetization: 0.344 μB/atom
Symmetry: Im-3m (229)

(3)
The following is a PBE calculation of an optimized crystal structure of PmY14Pu, from Alexandria via LeMat-Bulk.

Cell: 7.1520 7.1520 10.0518 Å, 90.00 90.00 90.00°
Last column: magnetic moment on the atom in μB.
Element x y z (fractional)
1 Pm 0.8750 0.1250 0.0000  -0.03
2 Y 0.3749 0.6251 0.5000  -0.04
3 Y 0.8751 0.1249 0.5000  -0.12
4 Y 0.8750 0.6249 0.0000  0.07
5 Y 0.8750 0.6250 0.5000  -0.04
6 Y 0.3751 0.1250 0.0000  0.07
7 Y 0.3750 0.1250 0.5000  -0.04
8 Y 0.6228 0.8728 0.7517  0.03
9 Y 0.6228 0.8728 0.2483  0.03
10 Y 0.1272 0.3772 0.7517  0.03
11 Y 0.1272 0.3772 0.2483  0.03
12 Y 0.1272 0.8728 0.7518  0.03
13 Y 0.1272 0.8728 0.2482  0.03
14 Y 0.6228 0.3772 0.7516  0.03
15 Y 0.6228 0.3772 0.2484  0.03
16 Pu 0.3751 0.6249 0.0000  5.59

## Properties
Crystal system: tetragonal
Calculated formation energy: 0.05 eV per atom
Spin magnetization: 0.395 μB/atom
Symmetry: P4/mmm (123)

(4)
The following is a PBE calculation of an optimized crystal structure of PmYPu, from Alexandria via LeMat-Bulk.

Cell: 3.5466 3.5466 7.9019 Å, 102.97 102.97 90.00°
Last column: magnetic moment on the atom in μB.
Element x y z (fractional)
1 Y 0.9465 0.9465 0.8929  0.02
2 Pm 0.6199 0.6199 0.2397  -0.02
3 Pu 0.2837 0.2837 0.5673  5.64

## Properties
Crystal system: tetragonal
Offset from the most stable computed form: 0.0 meV/atom
Calculated formation energy: 0.13 eV per atom
Spin magnetization: 2.056 μB/atom
Symmetry: I4mm (107)